Record 1
# Na2Cu2Si4O11 | Alexandria | SCAN | single point on PBEsol structure
data_Na2Cu2Si4O11
_symmetry_space_group_name_H-M 'P -1'
_symmetry_Int_Tables_number 2
_cell_length_a 5.204
_cell_length_b 6.310
_cell_length_c 8.319
_cell_angle_alpha 97.55
_cell_angle_beta 96.80
_cell_angle_gamma 100.88
loop_
_symmetry_equiv_pos_as_xyz
'x,y,z'
'-x,-y,-z'
loop_
_atom_site_label
_atom_site_fract_x
_atom_site_fract_y
_atom_site_fract_z
Na1 0.128 0.144 0.308
Cu1 0.297 0.609 0.568
Si1 0.014 0.633 0.182
Si2 0.405 0.155 0.684
O1 0.000 0.473 0.317
O2 0.000 0.500 0.000
O3 0.222 0.227 0.823
O4 0.274 0.909 0.600
O5 0.291 0.822 0.220
O6 0.401 0.326 0.552
# crystal system: triclinic
# uncorrected energy: -10.18 eV/atom

=====

Record 2
# YRhBr | Alexandria | SCAN | single point on PBEsol structure
data_YRhBr
_symmetry_space_group_name_H-M 'F -4 3 m'
_symmetry_Int_Tables_number 216
_symmetry_space_group_name_Hall 'F -4 2 3'
_cell_length_a 6.364
_cell_length_b 6.364
_cell_length_c 6.364
_cell_angle_alpha 90.00
_cell_angle_beta 90.00
_cell_angle_gamma 90.00
loop_
_atom_site_label
_atom_site_fract_x
_atom_site_fract_y
_atom_site_fract_z
Y1 0.000 0.000 0.000
Rh1 0.000 0.000 0.500
Br1 0.250 0.250 0.250
# crystal system: cubic
# uncorrected energy: -27.23 eV/atom